This record from Alexandria via LeMat-Bulk describes a relaxed BiC3I crystal. The functional is PBE.

The structure in extended XYZ format:
```
5
Lattice="4.246 0.000 0.000 0.000 4.246 0.000 0.000 0.000 4.246" Properties=species:S:1:pos:R:3 pbc="T T T"
Bi 2.123 2.123 2.123
C 2.123 0.000 0.000
C 0.000 0.000 2.123
C 0.000 2.123 0.000
I 0.000 0.000 0.000
```

Calculated values
The calculation puts the relative energy among the computed polymorphs at 0.0000 eV/atom. Its uncorrected formation energy is 3.0857 eV/atom. The symmetry is Pm-3m, No. 221.

***

This record from Alexandria via LeMat-Bulk describes a relaxed BiC2I crystal. The functional is PBE.

The structure in extended XYZ format:
```
8
Lattice="5.152 0.000 0.000 0.000 5.152 0.000 2.576 2.576 6.452" Properties=species:S:1:pos:R:3 pbc="T T T"
Bi 0.000 0.000 0.000
Bi 5.152 2.576 3.226
I 2.576 5.152 3.226
I 2.576 2.576 0.000
C 3.864 3.924 4.839
C 6.440 6.380 4.839
C 3.804 1.288 1.613
C 1.348 3.864 1.613
```

Calculated values
The calculation puts the relative energy among the computed polymorphs at 0.0000 eV/atom. Its uncorrected formation energy is 2.1979 eV/atom. The symmetry is I-42d, No. 122.

***

This record from Alexandria via LeMat-Bulk describes a relaxed Bi2CI crystal. The functional is PBE.

The structure in extended XYZ format:
```
8
Lattice="7.583 0.000 0.000 0.000 7.583 0.000 3.791 3.791 3.967" Properties=species:S:1:pos:R:3 pbc="T T T"
Bi 2.700 5.687 0.992
Bi 5.687 6.491 2.976
Bi 9.478 8.674 2.976
Bi 4.883 1.896 0.992
C 3.791 7.583 1.984
C 3.791 3.791 0.000
I 7.583 3.791 1.984
I 0.000 0.000 0.000
```

Calculated values
The calculation puts the relative energy among the computed polymorphs at 0.0000 eV/atom. Its uncorrected formation energy is 0.8706 eV/atom. The symmetry is I-42d, No. 122.

***

This record from Alexandria via LeMat-Bulk describes a relaxed BiC3I crystal. The functional is PBE.

The structure in extended XYZ format:
```
5
Lattice="-1.069 -0.946 4.432 3.059 -3.510 -0.011 3.344 2.909 1.427" Properties=species:S:1:pos:R:3 pbc="T T T"
C 1.529 -1.755 -0.006
C 1.672 1.455 0.714
C -0.534 -0.473 2.216
I 2.667 -0.774 2.924
Bi 0.000 0.000 0.000
```

Calculated values
The calculation puts the relative energy among the computed polymorphs at 0.1694 eV/atom. Its uncorrected formation energy is 3.2551 eV/atom. The symmetry is Pm-3m, No. 221.

***

This record from Alexandria via LeMat-Bulk describes a relaxed BiC2I crystal. The functional is PBE.

The structure in extended XYZ format:
```
4
Lattice="1.897 -3.324 2.605 2.996 1.112 3.351 -1.227 -0.443 4.443" Properties=species:S:1:pos:R:3 pbc="T T T"
C 2.750 -1.992 7.799
C 0.917 -0.664 2.600
Bi 1.833 -1.328 5.200
I 0.000 0.000 0.000
```

Calculated values
The calculation puts the relative energy among the computed polymorphs at 0.4865 eV/atom. Its uncorrected formation energy is 2.6844 eV/atom. The symmetry is Fm-3m, No. 225.

***

This record from Alexandria via LeMat-Bulk describes a relaxed Bi2CI crystal. The functional is PBE.

The structure in extended XYZ format:
```
4
Lattice="0.000 3.707 3.707 3.707 0.000 3.707 3.707 3.707 0.000" Properties=species:S:1:pos:R:3 pbc="T T T"
I 3.707 3.707 3.707
Bi 5.560 5.560 5.560
Bi 1.853 1.853 1.853
C 0.000 0.000 0.000
```

Calculated values
The calculation puts the relative energy among the computed polymorphs at 0.7226 eV/atom. Its uncorrected formation energy is 1.5932 eV/atom. The symmetry is Fm-3m, No. 225.

***

This record from Alexandria via LeMat-Bulk describes a relaxed InBi2CI crystal. The functional is PBE.

The structure in extended XYZ format:
```
5
Lattice="-1.665 -5.101 -2.807 6.034 -2.038 0.125 -0.998 -2.626 5.365" Properties=species:S:1:pos:R:3 pbc="T T T"
C 1.686 -4.883 1.342
In 3.017 -1.019 0.062
I 0.000 0.000 0.000
Bi -0.832 -2.551 -1.403
Bi -0.499 -1.313 2.682
```

Calculated values
Its uncorrected formation energy is 2.0588 eV/atom. The symmetry is P4/mmm, No. 123.

***

This record from Alexandria via LeMat-Bulk describes a relaxed BiCIN2 crystal. The functional is PBE.

The structure in extended XYZ format:
```
5
Lattice="-2.774 -2.535 1.937 3.132 -2.653 1.013 0.627 2.167 3.734" Properties=species:S:1:pos:R:3 pbc="T T T"
C 0.000 0.000 0.000
I 0.314 1.084 1.867
Bi 0.493 -1.510 3.342
N -1.387 -1.267 0.969
N 1.566 -1.326 0.507
```

Calculated values
The calculation puts the relative energy among the computed polymorphs at 0.0000 eV/atom. Its uncorrected formation energy is 2.5242 eV/atom. The symmetry is P4/mmm, No. 123.